(1)
DFT (PBE) results for Sn5HgTe6 after structural relaxation.

Geometry as POSCAR:
```
Sn5HgTe6
1.0
3.888 -6.754 0.000
3.888 6.754 0.000
-2.495 0.000 7.324
Sn Hg Te
5 1 6
direct
0.000 0.000 0.000
0.165 0.835 0.500
0.330 0.670 0.000
0.670 0.330 0.000
0.835 0.165 0.500
0.500 0.500 0.500
0.080 0.415 0.248
0.250 0.250 0.745
0.415 0.080 0.248
0.585 0.920 0.752
0.750 0.750 0.255
0.920 0.585 0.752
```

**Spin magnetization**: 0.0 Bohr magnetons per cell
**Space-group type**: C2/m (12)
**Formation energy from raw total energies**: -0.24 eV per atom

***

(2)
DFT (PBE) results for Tl4In3Pb3 after structural relaxation.

Geometry as POSCAR:
```
Tl4In3Pb3
1.0
3.347 0.000 0.000
0.000 6.046 7.786
0.000 -6.046 7.786
Tl In Pb
4 3 3
direct
0.000 0.000 0.000
0.000 0.061 0.615
0.000 0.388 0.388
0.000 0.615 0.061
0.000 0.313 0.755
0.000 0.755 0.313
0.500 0.799 0.799
0.500 0.047 0.320
0.500 0.320 0.047
0.500 0.598 0.598
```

**Calculated total energy**: -28.3 eV per cell
**Spin magnetization**: 0.0 Bohr magnetons per cell
**Space-group type**: Amm2 (38)

***

(3)
DFT (PBE) results for Rb3Pm3SbTe8 after structural relaxation.

Geometry as POSCAR:
```
Rb3Pm3SbTe8
1.0
7.860 -4.528 0.000
7.860 4.528 0.000
-5.251 0.000 8.786
Rb Pm Sb Te
3 3 1 8
direct
0.000 0.000 0.000
0.000 0.500 0.000
0.500 0.000 0.000
0.000 0.500 0.500
0.500 0.000 0.500
0.500 0.500 0.500
0.000 0.000 0.500
0.228 0.228 0.697
0.228 0.742 0.697
0.258 0.772 0.303
0.265 0.265 0.295
0.735 0.735 0.705
0.742 0.228 0.697
0.772 0.258 0.303
0.772 0.772 0.303
```

**Spin magnetization**: 0.0 Bohr magnetons per cell
**Space-group type**: C2/m (12)
**Formation energy from raw total energies**: -1.10 eV per atom

***

(4)
DFT (PBE) results for ZrMnSi2 after structural relaxation.

Geometry as POSCAR:
```
ZrMnSi2
1.0
1.471 0.849 8.201
-1.471 0.849 8.201
0.000 -1.699 8.201
Zr Mn Si
1 1 2
direct
0.000 0.000 0.000
0.500 0.500 0.500
0.237 0.237 0.237
0.763 0.763 0.763
```

**Spin magnetization**: 1.5 Bohr magnetons per cell
**Space-group type**: R-3m (166)
**Formation energy from raw total energies**: -0.12 eV per atom

***

(5)
DFT (PBE) results for Hf2MgTi2 after structural relaxation.

Geometry as POSCAR:
```
Hf2MgTi2
1.0
7.408 0.000 0.000
0.000 7.408 0.000
0.000 0.000 3.725
Hf Mg Ti
4 2 4
direct
0.158 0.342 0.000
0.342 0.842 0.000
0.658 0.158 0.000
0.842 0.658 0.000
0.000 0.000 0.500
0.500 0.500 0.500
0.132 0.632 0.500
0.368 0.132 0.500
0.632 0.868 0.500
0.868 0.368 0.500
```

**Calculated total energy**: -73.1 eV per cell
**Spin magnetization**: 0.0 Bohr magnetons per cell
**Space-group type**: P4/mbm (127)

***

(6)
DFT (PBE) results for Ta4Cr5 after structural relaxation.

Geometry as POSCAR:
```
Ta4Cr5
1.0
7.859 0.000 0.000
-3.929 6.806 0.000
0.000 0.000 5.023
Ta Cr
8 10
direct
0.000 0.000 0.000
0.000 0.000 0.500
0.000 0.367 0.250
0.000 0.633 0.750
0.367 0.000 0.250
0.367 0.367 0.750
0.633 0.000 0.750
0.633 0.633 0.250
0.000 0.306 0.750
0.000 0.694 0.250
0.306 0.000 0.750
0.306 0.306 0.250
0.333 0.667 0.000
0.333 0.667 0.500
0.667 0.333 0.000
0.667 0.333 0.500
0.694 0.000 0.250
0.694 0.694 0.750
```

**Calculated total energy**: -184.9 eV per cell
**Spin magnetization**: 0.0 Bohr magnetons per cell
**Space-group type**: P6_3/mcm (193)